1.
MgIn2Pd4 (PBE, optimized geometry); space-group type = I4/mmm, No. 139; ΔE_f = 0.04 eV per atom; relative energy among the computed polymorphs = 512.7 meV/atom; DFT total energy = -3.94 eV per atom
1.0
4.587 0.000 0.000
0.000 4.587 0.000
2.294 2.294 6.861
Mg Pd In
1 4 2
Cartesian
0.000 0.000 0.000 Mg
2.294 2.294 4.362 Pd
4.587 4.587 2.499 Pd
0.000 2.294 0.000 Pd
2.294 0.000 0.000 Pd
2.294 2.294 1.742 In
4.587 4.587 5.119 In

---

2.
YTl2InS4 (PBE, optimized geometry); space-group type = P2/m, No. 10; E_form (uncorrected) = -0.977 eV per atom; DFT total energy = -4.78 eV per atom
1.0
-1.295 -3.729 -0.377
4.440 -0.889 -6.462
6.163 -2.348 2.047
Y Tl In S
1 2 1 4
Cartesian
5.302 -1.619 -2.208 Y
6.163 -2.348 2.047 Tl
2.434 -3.038 0.835 Tl
1.572 -2.309 -3.420 In
7.871 -2.443 -2.890 S
1.437 -4.524 -1.903 S
4.083 -3.105 -4.170 S
5.225 -3.861 -0.623 S

---

3.
MgSc3Al (PBE, optimized geometry); space-group type = Cmcm, No. 63; ΔE_f = -0.21 eV per atom; relative energy among the computed polymorphs = 0.0 meV/atom; DFT total energy = -5.08 eV per atom
1.0
4.667 0.000 1.066
0.000 4.783 0.000
0.217 0.000 9.794
Mg Sc Al
2 6 2
Cartesian
3.194 3.587 3.734 Mg
4.716 1.196 7.817 Mg
3.603 1.196 1.945 Sc
1.977 1.196 9.059 Sc
2.789 1.196 5.506 Sc
1.266 3.587 1.426 Sc
4.307 3.587 9.607 Sc
0.454 3.587 4.979 Sc
2.392 3.587 7.243 Al
0.851 1.196 3.242 Al

---

DFT total energy of number 2 (YTl2InS4)? -4.78 eV per atom

---

DFT total energy of number 1 (MgIn2Pd4)? -3.94 eV per atom